Entry from Alexandria: a relaxed BaGdNbSnO6 crystal (GGA-PBE).

POSCAR file:
```
BaGdNbSnO6
1.0
-1.609 -5.393 2.210
-3.682 -0.330 4.785
-5.674 -1.976 -0.682
Ba Gd Nb Sn O
1 1 1 1 6
Direct
0.750 0.750 0.750
0.000 0.000 0.000
0.500 0.500 0.500
0.250 0.250 0.250
0.264 0.736 0.264
0.736 0.264 0.736
0.264 0.736 0.736
0.736 0.264 0.264
0.264 0.264 0.736
0.736 0.736 0.264
```

Volume: 15.63 Å³ per atom
Symmetry: F-43m, No. 216
Formation energy from raw total energies: -57.923 kcal/mol of atoms
Total DFT energy (no corrections): -8.494 eV per atom
Distance to the lowest polymorph of the same formula: 0.072 eV/atom

---

Entry from Alexandria: a relaxed Tb7Y2Tm2 crystal (GGA-PBE).

POSCAR file:
```
Tb7Y2Tm2
1.0
6.587 -0.002 -1.697
0.005 9.513 0.004
-2.104 -0.002 6.468
Tb Y Tm
7 2 2
Direct
0.000 0.313 0.500
0.500 0.687 0.000
0.000 0.687 0.500
0.500 0.313 0.000
0.000 0.000 0.000
0.500 0.817 0.500
0.500 0.183 0.500
0.750 0.500 0.750
0.250 0.500 0.250
0.727 0.000 0.273
0.273 0.000 0.727
```

Volume: 33.76 Å³ per atom
Symmetry: Cmmm, No. 65
Total DFT energy (no corrections): -4.568 eV per atom
Distance to the lowest polymorph of the same formula: 0.206 eV/atom

---

Copy entry 1 word for word.
Entry from Alexandria: a relaxed BaGdNbSnO6 crystal (GGA-PBE).

POSCAR file:
```
BaGdNbSnO6
1.0
-1.609 -5.393 2.210
-3.682 -0.330 4.785
-5.674 -1.976 -0.682
Ba Gd Nb Sn O
1 1 1 1 6
Direct
0.750 0.750 0.750
0.000 0.000 0.000
0.500 0.500 0.500
0.250 0.250 0.250
0.264 0.736 0.264
0.736 0.264 0.736
0.264 0.736 0.736
0.736 0.264 0.264
0.264 0.264 0.736
0.736 0.736 0.264
```

Volume: 15.63 Å³ per atom
Symmetry: F-43m, No. 216
Formation energy from raw total energies: -57.923 kcal/mol of atoms
Total DFT energy (no corrections): -8.494 eV per atom
Distance to the lowest polymorph of the same formula: 0.072 eV/atom

---

Please write out number 1 again, unchanged.
Entry from Alexandria: a relaxed BaGdNbSnO6 crystal (GGA-PBE).

POSCAR file:
```
BaGdNbSnO6
1.0
-1.609 -5.393 2.210
-3.682 -0.330 4.785
-5.674 -1.976 -0.682
Ba Gd Nb Sn O
1 1 1 1 6
Direct
0.750 0.750 0.750
0.000 0.000 0.000
0.500 0.500 0.500
0.250 0.250 0.250
0.264 0.736 0.264
0.736 0.264 0.736
0.264 0.736 0.736
0.736 0.264 0.264
0.264 0.264 0.736
0.736 0.736 0.264
```

Volume: 15.63 Å³ per atom
Symmetry: F-43m, No. 216
Formation energy from raw total energies: -57.923 kcal/mol of atoms
Total DFT energy (no corrections): -8.494 eV per atom
Distance to the lowest polymorph of the same formula: 0.072 eV/atom